Entry 1:
A PBEsol-optimized structure of Zr2IrOs, computed with meta-GGA SCAN.

The calculation puts the volume at 17.30 Å³ per atom. For the formation energy, the calculation gives -0.570 eV per atom.

The space group is I-4m2 (No. 119) and the conventional cell measures 3.877, 3.877 and 9.204 Å, with angles of 90.00, 90.00 and 90.00 degrees. The distinct sites, in fractional coordinates, are Zr at (0.000, 0.000, 0.000), Zr at (0.000, 0.500, 0.250), Ir at (0.000, 0.000, 0.500) and Os at (0.000, 0.500, 0.750).



Entry 2:
A PBEsol-optimized structure of Zr3IrOs, computed with meta-GGA SCAN.

The calculation puts the volume at 23.31 Å³ per atom. For the formation energy, the calculation gives 0.501 eV per atom.

The space group is Pm-3m (No. 221) and the conventional cell measures 4.885, 4.885 and 4.885 Å, with angles of 90.00, 90.00 and 90.00 degrees. The distinct sites, in fractional coordinates, are Zr at (0.000, 0.000, 0.500), Ir at (0.500, 0.500, 0.500) and Os at (0.000, 0.000, 0.000).



Entry 3:
A PBEsol-optimized structure of ZrIrOs, computed with meta-GGA SCAN.

The calculation puts the volume at 15.86 Å³ per atom. For the formation energy, the calculation gives 0.073 eV per atom.

The space group is P3m1 (No. 156) and the conventional cell measures 2.7797, 2.7797 and 7.1127 Å, with angles of 90.00, 90.00 and 120.00 degrees. The distinct sites, in fractional coordinates, are Zr at (0.0000, 0.0000, 0.0000), Ir at (0.3333, 0.6667, 0.6546) and Os at (0.6667, 0.3333, 0.3522).



Please write out number 2 again, unchanged.
A PBEsol-optimized structure of Zr3IrOs, computed with meta-GGA SCAN.

The calculation puts the volume at 23.31 Å³ per atom. For the formation energy, the calculation gives 0.501 eV per atom.

The space group is Pm-3m (No. 221) and the conventional cell measures 4.885, 4.885 and 4.885 Å, with angles of 90.00, 90.00 and 90.00 degrees. The distinct sites, in fractional coordinates, are Zr at (0.000, 0.000, 0.500), Ir at (0.500, 0.500, 0.500) and Os at (0.000, 0.000, 0.000).